# CrRuO2 GGA+U optimized geometry
# Distance to the lowest polymorph of the same formula ... 521 meV/atom
data_CrRuO2
_chemical_formula_sum 'Cr1 Ru1 O2'
_cell_length_a 6.4615
_cell_length_b 6.4615
_cell_length_c 6.4615
_cell_angle_alpha 27.08
_cell_angle_beta 27.08
_cell_angle_gamma 27.08
_space_group_name_H-M_alt 'P 1'
_space_group_IT_number 1
_space_group_name_Hall 'P 1'
loop_
_atom_site_label
_atom_site_type_symbol
_atom_site_fract_x
_atom_site_fract_y
_atom_site_fract_z
Ru1 Ru 0.5000 0.5000 0.5000
O1 O 0.8940 0.8940 0.8940
O2 O 0.1060 0.1060 0.1060
Cr1 Cr 0.0000 0.0000 0.0000